# Sr2Fe2S2OF2

Sr2Fe2S2OF2 after structural relaxation (PBE with a Hubbard U, Alexandria).

The symmetry is I4/mmm (139). For the calculated total energy, the calculation gives -51.6 eV per cell. As for the density of states at the Fermi level: 0.00 states/eV/cell.

Structure (POSCAR):
```
Sr2Fe2S2OF2
1.0
-3.509 2.111 -0.305
-2.133 -3.487 0.391
2.691 1.778 8.985
Sr Fe S O F
2 2 2 1 2
Direct
0.671 0.671 0.343
0.329 0.329 0.657
0.500 0.000 0.000
0.000 0.500 0.000
0.906 0.906 0.811
0.094 0.094 0.189
0.500 0.500 0.000
0.750 0.250 0.500
0.250 0.750 0.500
```